Density functional theory data (PBE) for a geometry-optimized PC structure.

## Properties
* E above lowest polymorph: 2010 meV/atom
* symmetry: No. 221
* energy of formation: 2.323 eV per atom

Cell lengths 2.6610, 2.6610, 2.6610 Å; angles 90.00, 90.00, 90.00 degrees
Element x y z (fractional)
P1 0.5000 0.5000 0.5000
C1 0.0000 0.0000 0.0000

Density functional theory data (PBE) for a geometry-optimized RbNaHgS structure.

## Properties
* symmetry: No. 216
* ΔE_f (raw): -0.592 eV/atom

Cell lengths 5.4877, 5.4877, 5.4877 Å; angles 60.00, 60.00, 60.00 degrees
Element x y z (fractional)
Rb1 0.5000 0.5000 0.5000
Hg1 0.7500 0.7500 0.7500
S1 0.2500 0.2500 0.2500
Na1 0.0000 0.0000 0.0000

Density functional theory data (PBE) for a geometry-optimized YOs2W structure.

## Properties
* E above lowest polymorph: 335 meV/atom
* symmetry: No. 12
* energy of formation: 0.363 eV per atom

Cell lengths 5.0305, 5.0305, 5.2652 Å; angles 71.76, 71.76, 36.00 degrees
Element x y z (fractional)
Os1 0.9755 0.9755 0.0630
Os2 0.5245 0.5245 0.4370
Y1 0.7500 0.7500 0.7500
W1 0.2500 0.2500 0.2500

Density functional theory data (PBE) for a geometry-optimized ReSiPt structure.

## Properties
* E above lowest polymorph: 44 meV/atom
* symmetry: No. 216
* ΔE_f (raw): -0.096 eV/atom

Cell lengths 4.0561, 4.0561, 4.0561 Å; angles 60.00, 60.00, 60.00 degrees
Element x y z (fractional)
Pt1 0.0000 0.0000 0.0000
Re1 0.5000 0.5000 0.5000
Si1 0.7500 0.7500 0.7500

Density functional theory data (PBE) for a geometry-optimized Zn3PdAu2 structure.

## Properties
* symmetry: No. 123
* energy of formation: -0.323 eV per atom

Cell lengths 3.0816, 3.0816, 9.8922 Å; angles 90.00, 90.00, 90.00 degrees
Element x y z (fractional)
Zn1 0.0000 0.0000 0.3456
Zn2 0.0000 0.0000 0.0000
Zn3 0.0000 0.0000 0.6544
Au1 0.5000 0.5000 0.1734
Au2 0.5000 0.5000 0.8266
Pd1 0.5000 0.5000 0.5000

Density functional theory data (PBE) for a geometry-optimized PmTm3Pb structure.

## Properties
* symmetry: No. 14
* energy of formation: -0.150 eV per atom

Cell lengths 9.1453, 7.9355, 10.2329 Å; angles 125.00, 90.00, 90.00 degrees
Element x y z (fractional)
Tm1 0.3233 0.5965 0.0111
Tm2 0.0783 0.2978 0.0247
Tm3 0.1171 0.0914 0.2603
Tm4 0.8829 0.9086 0.7397
Tm5 0.9217 0.7022 0.9753
Tm6 0.5783 0.7022 0.4753
Tm7 0.3829 0.0914 0.7603
Tm8 0.6171 0.9086 0.2397
Tm9 0.4217 0.2978 0.5247
Tm10 0.6767 0.4035 0.9889
Tm11 0.1767 0.5965 0.5111
Tm12 0.8233 0.4035 0.4889
Pb1 0.2130 0.8507 0.8838
Pb2 0.2871 0.8507 0.3838
Pb3 0.7870 0.1493 0.1162
Pb4 0.7130 0.1493 0.6162
Pm1 0.5801 0.7190 0.8294
Pm2 0.0801 0.2810 0.6706
Pm3 0.9199 0.7190 0.3294
Pm4 0.4199 0.2810 0.1706

Density functional theory data (PBE) for a geometry-optimized LiTb2V structure.

## Properties
* E above lowest polymorph: 446 meV/atom
* symmetry: No. 166
* energy of formation: 0.659 eV per atom

Cell lengths 3.2412, 3.2412, 11.3870 Å; angles 81.82, 81.82, 60.00 degrees
Element x y z (fractional)
V1 0.0000 0.0000 0.0000
Tb1 0.9171 0.9171 0.2486
Tb2 0.0829 0.0829 0.7514
Li1 0.5000 0.5000 0.5000

Density functional theory data (PBE) for a geometry-optimized Tb3Er3TmSe8 structure.

## Properties
* symmetry: No. 166
* ΔE_f (raw): -1.817 eV/atom

Cell lengths 8.0914, 8.0915, 8.1084 Å; angles 119.93, 90.00, 120.00 degrees
Element x y z (fractional)
Se1 0.2517 0.5034 0.2552
Se2 0.2546 0.0035 0.2523
Se3 0.2511 0.9965 0.7477
Se4 0.2512 0.5023 0.7477
Se5 0.7454 0.9965 0.7477
Se6 0.7488 0.4977 0.2523
Se7 0.7489 0.0035 0.2523
Se8 0.7483 0.4966 0.7448
Tb1 0.0000 0.5000 0.0000
Tb2 0.5000 0.5000 0.0000
Tb3 0.0000 0.0000 0.0000
Er1 0.0000 0.5000 0.5000
Er2 0.5000 0.0000 0.5000
Er3 0.5000 0.5000 0.5000
Tm1 0.0000 0.0000 0.5000

Density functional theory data (PBE) for a geometry-optimized MnRePd2 structure.

## Properties
* E above lowest polymorph: 32 meV/atom
* symmetry: No. 225
* energy of formation: 0.645 eV per atom

Cell lengths 4.3360, 4.3360, 4.3360 Å; angles 60.00, 60.00, 60.00 degrees
Element x y z (fractional)
Pd1 0.7500 0.7500 0.7500
Pd2 0.2500 0.2500 0.2500
Re1 0.5000 0.5000 0.5000
Mn1 0.0000 0.0000 0.0000

Density functional theory data (PBE) for a geometry-optimized Rb2ErHF6 structure.

## Properties
* symmetry: No. 12
* electronic total energy: -5.151 eV per atom

Cell lengths 6.0259, 6.0231, 7.0334 Å; angles 54.38, 54.37, 69.00 degrees
Element x y z (fractional)
F1 0.2142 0.2144 0.9991
F2 0.3297 0.6704 0.0000
F3 0.7858 0.7856 0.0009
F4 0.2136 0.2135 0.5731
F5 0.6703 0.3295 0.0000
F6 0.7864 0.7865 0.4269
Er1 0.0000 0.0000 0.0000
H1 0.5000 0.5000 0.0000
Rb1 0.7499 0.2498 0.5003
Rb2 0.2501 0.7502 0.4997

Density functional theory data (PBE) for a geometry-optimized Mg2AlRu structure.

## Properties
* symmetry: No. 65
* energy of formation: 0.112 eV per atom

Cell lengths 2.8572, 2.8572, 9.0736 Å; angles 90.00, 90.00, 111.94 degrees
Element x y z (fractional)
Al1 0.5000 0.5000 0.7500
Ru1 0.5000 0.5000 0.2500
Mg1 0.0000 0.0000 0.0192
Mg2 0.0000 0.0000 0.4808

Density functional theory data (PBE) for a geometry-optimized TaCuRu2 structure.

## Properties
* symmetry: No. 99
* energy of formation: 0.097 eV per atom

Cell lengths 3.2501, 3.2501, 5.5974 Å; angles 90.00, 90.00, 90.00 degrees
Element x y z (fractional)
Ru1 0.5000 0.5000 0.2637
Ru2 0.0000 0.0000 0.9670
Ta1 0.0000 0.0000 0.5088
Cu1 0.5000 0.5000 0.7604

| no. | density of states at the Fermi level (states/eV per cell) |
| --- | --- |
| 1 | 0.79 |
| 2 | 0.00 |
| 3 | 3.21 |
| 4 | 3.08 |
| 5 | 1.20 |
| 6 | 19.81 |
| 7 | 5.77 |
| 8 | 6.20 |
| 9 | 10.70 |
| 10 | 0.00 |
| 11 | 3.13 |
| 12 | 4.84 |